No. 1
A geometry-optimized Rb3TcO4 structure. Source: the Alexandria database, functional GGA-PBE.

abc: 8.9481 6.5653 6.8269
angles: 90.00 90.00 90.00
Space group Pmn2_1 (No. 31)
Unique sites:
Rb 0.0000 0.2363 0.0000 x2
Rb 0.2454 0.2978 0.5606 x4
Tc 0.0000 0.7747 0.5881 x2
O 0.0000 0.0504 0.6442 x2
O 0.0000 0.6171 0.8160 x2
O 0.1747 0.7103 0.4558 x4

Output
The distance to the lowest polymorph of the same formula comes out at 0.000 eV/atom. Its uncorrected formation energy is -1.500 eV/atom. As for the crystal system: orthorhombic. The density of states at the Fermi level comes out at 6.0 states/eV/cell.

=====

No. 2
A geometry-optimized RbTcO3 structure. Source: the Alexandria database, functional GGA-PBE.

abc: 12.1207 10.8597 5.1113
angles: 90.00 91.23 90.00
Space group C2/c (No. 15)
Unique sites:
Rb 0.1997 0.1142 0.3215 x8
Tc 0.0000 0.2782 0.7500 x4
Tc 0.0000 0.4596 0.2500 x4
O 0.0781 0.3220 0.4486 x8
O 0.1029 0.1651 0.8385 x8
O 0.1047 0.4239 0.9505 x8

Output
Its uncorrected formation energy is -1.520 eV/atom. As for the crystal system: monoclinic. The density of states at the Fermi level comes out at 0.0 states/eV/cell.

=====

No. 3
A geometry-optimized RbTc2O6 structure. Source: the Alexandria database, functional GGA-PBE.

abc: 5.3559 5.3559 6.1495
angles: 90.00 90.00 120.00
Space group P-31m (No. 162)
Unique sites:
Rb 0.0000 0.0000 0.0000 x1
Tc 0.3333 0.6667 0.5000 x2
O 0.0000 0.4018 0.6717 x6

Output
Its uncorrected formation energy is -1.442 eV/atom. As for the crystal system: trigonal. The density of states at the Fermi level comes out at 4.8 states/eV/cell.

=====

No. 4
A geometry-optimized RbTc2O structure. Source: the Alexandria database, functional GGA-PBE.

abc: 9.0184 9.0184 9.0184
angles: 90.00 90.00 90.00
Space group Fd-3m (No. 227, origin choice 2)
Unique sites:
Rb 0.1250 0.1250 0.1250 x8
Tc 0.0000 0.0000 0.5000 x16
O 0.1250 0.1250 0.6250 x8

Output
Its uncorrected formation energy is 0.542 eV/atom. As for the crystal system: cubic. The density of states at the Fermi level comes out at 19.3 states/eV/cell.

=====

No. 5
A geometry-optimized RbTcO3 structure. Source: the Alexandria database, functional GGA-PBE.

abc: 7.0604 3.1384 7.7275
angles: 90.00 108.67 90.00
Space group P2_1/m (No. 11)
Unique sites:
Rb 0.2003 0.2500 0.2616 x2
Tc 0.3317 0.7500 0.8239 x2
O 0.1717 0.2500 0.8674 x2
O 0.2985 0.7500 0.5911 x2
O 0.4708 0.7500 0.1176 x2

Output
Its uncorrected formation energy is -1.488 eV/atom. As for the crystal system: monoclinic.

=====

No. 6
A geometry-optimized Rb4TcO4 structure. Source: the Alexandria database, functional GGA-PBE.

abc: 7.0336 7.0336 13.2296
angles: 90.00 90.00 90.00
Space group I-42m (No. 121)
Unique sites:
Rb 0.0000 0.0000 0.2365 x4
Rb 0.0000 0.5000 0.0000 x4
Tc 0.0000 0.0000 0.5000 x2
O 0.1497 0.1497 0.5836 x8

Output
Its uncorrected formation energy is -1.289 eV/atom. As for the crystal system: tetragonal. The density of states at the Fermi level comes out at 7.2 states/eV/cell.

=====

No. 7
A geometry-optimized RbTcO3 structure. Source: the Alexandria database, functional GGA-PBE.

abc: 3.8631 3.8631 23.8338
angles: 90.00 90.00 90.00
Space group I-4m2 (No. 119)
Unique sites:
Rb 0.0000 0.0000 0.1044 x4
Tc 0.0000 0.0000 0.5000 x2
Tc 0.0000 0.5000 0.2500 x2
O 0.0000 0.2006 0.3143 x8
O 0.0000 0.5000 0.9999 x4

Output
Its uncorrected formation energy is -0.852 eV/atom. As for the crystal system: tetragonal. The density of states at the Fermi level comes out at 7.9 states/eV/cell.

=====

No. 8
A geometry-optimized Rb2TcO2 structure. Source: the Alexandria database, functional GGA-PBE.

abc: 5.0802 5.0802 9.3041
angles: 90.00 90.00 90.00
Space group I4/mmm (No. 139)
Unique sites:
Rb 0.0000 0.0000 0.1599 x4
Tc 0.0000 0.0000 0.5000 x2
O 0.0000 0.5000 0.2500 x4

Output
The distance to the lowest polymorph of the same formula comes out at 0.153 eV/atom. Its uncorrected formation energy is 0.696 eV/atom. As for the crystal system: tetragonal. The density of states at the Fermi level comes out at 2.1 states/eV/cell.

=====

No. 9
A geometry-optimized RbTc3O structure. Source: the Alexandria database, functional GGA-PBE.

abc: 4.7537 4.7537 4.7537
angles: 90.00 90.00 90.00
Space group Pm-3m (No. 221)
Unique sites:
Rb 0.0000 0.0000 0.0000 x1
Tc 0.0000 0.0000 0.5000 x3
O 0.5000 0.5000 0.5000 x1

Output
The distance to the lowest polymorph of the same formula comes out at 2.596 eV/atom. Its uncorrected formation energy is 3.813 eV/atom. As for the crystal system: cubic. The density of states at the Fermi level comes out at 6.0 states/eV/cell.

=====

No. 10
A geometry-optimized Rb3Tc2O8 structure. Source: the Alexandria database, functional GGA-PBE.

abc: 6.3139 6.3139 22.6130
angles: 90.00 90.00 120.00
Space group R-3m (No. 166, hexagonal axes)
Unique sites:
Rb 0.0000 0.0000 0.0000 x3
Rb 0.0000 0.0000 0.2005 x6
Tc 0.0000 0.0000 0.4057 x6
O 0.0000 0.0000 0.3279 x6
O 0.0285 0.5143 0.2346 x18

Output
Its uncorrected formation energy is -1.702 eV/atom. As for the crystal system: trigonal. The density of states at the Fermi level comes out at 22.8 states/eV/cell.

=====

No. 11
A geometry-optimized RbTcO3 structure. Source: the Alexandria database, functional GGA-PBE.

abc: 3.6577 3.6577 14.4794
angles: 90.00 90.00 120.00
Space group P6_3/mmc (No. 194)
Unique sites:
Rb 0.0000 0.0000 0.0000 x2
Tc 0.3333 0.6667 0.2500 x2
O 0.0000 0.0000 0.2500 x2
O 0.3333 0.6667 0.1267 x4

Output
Its uncorrected formation energy is -1.219 eV/atom. As for the crystal system: hexagonal. The density of states at the Fermi level comes out at 4.1 states/eV/cell.

=====

No. 12
A geometry-optimized RbTcO3 structure. Source: the Alexandria database, functional GGA-PBE.

abc: 4.7959 6.8274 6.8410
angles: 116.41 100.97 101.11
Space group P-1 (No. 2)
Unique sites:
Rb 0.2489 0.1585 0.3440 x2
Tc 0.2501 0.5414 0.9574 x2
O 0.1904 0.6536 0.2477 x2
O 0.2503 0.6920 0.8024 x2
O 0.3096 0.2508 0.8491 x2

Output
Its uncorrected formation energy is -1.552 eV/atom. As for the crystal system: triclinic. The density of states at the Fermi level comes out at 0.0 states/eV/cell.

=====

No. 13
A geometry-optimized Rb5TcO6 structure. Source: the Alexandria database, functional GGA-PBE.

abc: 6.6989 11.5909 6.5116
angles: 90.00 110.40 90.00
Space group C2/m (No. 12)
Unique sites:
Rb 0.0000 0.0000 0.0000 x2
Rb 0.0000 0.1674 0.5000 x4
Rb 0.0000 0.3392 0.0000 x4
Tc 0.0000 0.5000 0.5000 x2
O 0.1756 0.5000 0.3191 x4
O 0.1790 0.3822 0.6850 x8

Output
Its uncorrected formation energy is -1.426 eV/atom. As for the crystal system: monoclinic.

=====

No. 14
A geometry-optimized RbTcO3 structure. Source: the Alexandria database, functional GGA-PBE.

abc: 4.0844 4.0844 8.3443
angles: 90.00 90.00 120.00
Space group P6_3/mmc (No. 194)
Unique sites:
Rb 0.3333 0.6667 0.2500 x2
Tc 0.0000 0.0000 0.0000 x2
O 0.0000 0.0000 0.2500 x2
O 0.3333 0.6667 0.5483 x4

Output
Its uncorrected formation energy is -0.313 eV/atom. As for the crystal system: hexagonal. The density of states at the Fermi level comes out at 5.8 states/eV/cell.

=====

No. 15
A geometry-optimized RbTcO3 structure. Source: the Alexandria database, functional GGA-PBE.

abc: 7.4281 5.1491 12.3827
angles: 90.00 116.82 90.00
Space group P2_1/c (No. 14)
Unique sites:
Rb 0.1987 0.2399 0.1527 x4
Tc 0.4370 0.7185 0.0029 x4
O 0.2148 0.7217 0.0238 x4
O 0.3476 0.0623 0.9022 x4
O 0.4377 0.5656 0.8664 x4

Output
Its uncorrected formation energy is -1.606 eV/atom. As for the crystal system: monoclinic. The density of states at the Fermi level comes out at 0.0 states/eV/cell.

=====

No. 16
A geometry-optimized Rb2TcO6 structure. Source: the Alexandria database, functional GGA-PBE.

abc: 5.8247 5.8247 11.8451
angles: 90.00 90.00 90.00
Space group P4_2/mnm (No. 136)
Unique sites:
Rb 0.0000 0.0000 0.1630 x4
Tc 0.0000 0.0000 0.5000 x2
O 0.1591 0.1591 0.3873 x8
O 0.2278 0.7722 0.5000 x4

Output
Its uncorrected formation energy is -0.887 eV/atom. As for the crystal system: tetragonal.

=====

No. 17
A geometry-optimized RbTcO3 structure. Source: the Alexandria database, functional GGA-PBE.

abc: 6.0959 5.4671 7.3320
angles: 90.00 109.75 90.00
Space group P2_1/m (No. 11)
Unique sites:
Rb 0.0689 0.2500 0.2498 x2
Tc 0.4167 0.2500 0.8984 x2
O 0.2154 0.2500 0.6647 x2
O 0.3364 0.5028 0.0551 x4

Output
Its uncorrected formation energy is -1.595 eV/atom. As for the crystal system: monoclinic.

=====

No. 18
A geometry-optimized RbTcO3 structure. Source: the Alexandria database, functional GGA-PBE.

abc: 3.6387 6.8728 6.8127
angles: 90.00 90.00 90.00
Space group Amm2 (No. 38)
Unique sites:
Rb 0.0000 0.0000 0.0000 x2
Tc 0.5000 0.0000 0.4716 x2
O 0.0000 0.0000 0.5715 x2
O 0.5000 0.2128 0.3188 x4

Output
Its uncorrected formation energy is -1.381 eV/atom. As for the crystal system: orthorhombic. The density of states at the Fermi level comes out at 2.6 states/eV/cell.

=====

No. 19
A geometry-optimized Rb3TcO4 structure. Source: the Alexandria database, functional GGA-PBE.

abc: 6.4121 8.8599 6.8196
angles: 90.00 90.00 90.00
Space group Imm2 (No. 44)
Unique sites:
Rb 0.0000 0.0000 0.0000 x2
Rb 0.0000 0.2328 0.5208 x4
Tc 0.0000 0.5000 0.0477 x2
O 0.0000 0.3245 0.9008 x4
O 0.2314 0.5000 0.2103 x4

Output
The distance to the lowest polymorph of the same formula comes out at 0.017 eV/atom. Its uncorrected formation energy is -1.483 eV/atom. As for the crystal system: orthorhombic. The density of states at the Fermi level comes out at 5.7 states/eV/cell.

=====

No. 20
A geometry-optimized Rb2TcO2 structure. Source: the Alexandria database, functional GGA-PBE.

abc: 8.1270 8.1270 3.1511
angles: 90.00 90.00 90.00
Space group P4/mbm (No. 127)
Unique sites:
Rb 0.1311 0.3689 0.0000 x4
Tc 0.0000 0.0000 0.0000 x2
O 0.1729 0.6729 0.5000 x4

Output
The distance to the lowest polymorph of the same formula comes out at 0.000 eV/atom. Its uncorrected formation energy is 0.543 eV/atom. As for the crystal system: tetragonal. The density of states at the Fermi level comes out at 4.3 states/eV/cell.

=====

No. 21
A geometry-optimized RbTcO3 structure. Source: the Alexandria database, functional GGA-PBE.

abc: 2.9498 7.7702 7.7600
angles: 90.00 90.00 90.00
Space group Amm2 (No. 38)
Unique sites:
Rb 0.0000 0.0000 0.0000 x2
Tc 0.5000 0.0000 0.5260 x2
O 0.0000 0.1540 0.6080 x4
O 0.5000 0.0000 0.3043 x2

Output
Its uncorrected formation energy is -1.385 eV/atom. As for the crystal system: orthorhombic. The density of states at the Fermi level comes out at 0.0 states/eV/cell.